# 1
VASP calculation (meta-GGA SCAN) on a PBEsol-optimized structure of MgCu2Re.

Values from the calculation:
E_tot = -105.7 eV per formula unit

a b c (Å): 2.6575 2.6575 7.6716
angles (deg): 90.00 90.00 90.00
Last column: nearest neighbours and their distance in Å.
Fractional coordinates of all 4 atoms:
Mg 0.0000 0.0000 0.4869  4 Mg 2.66, 4 Cu 2.73, 4 Re 2.88
Cu 0.0000 0.0000 0.0126  8 Cu 2.51-2.66, 4 Re 2.63
Cu 0.5000 0.5000 0.2286  8 Cu 2.51-2.66, 4 Mg 2.73
Re 0.5000 0.5000 0.7719  4 Cu 2.63, 4 Re 2.66, 4 Mg 2.88

# 2
VASP calculation (meta-GGA SCAN) on a PBEsol-optimized structure of Mg2CuRe.

Values from the calculation:
Polymorph energy (0 for the lowest one) = 107 meV/atom

a b c (Å): 2.7057 4.1380 5.5108
angles (deg): 90.00 90.00 90.00
Last column: nearest neighbours and their distance in Å.
Fractional coordinates of all 4 atoms:
Mg 0.0000 0.0000 0.9881  2 Re 2.66-2.85, 6 Mg 2.71-2.93, 4 Cu 2.84
Mg 0.5000 0.5000 0.2721  1 Cu 2.54, 2 Mg 2.71, 4 Re 2.79
Cu 0.5000 0.5000 0.7338  5 Mg 2.54-2.84, 2 Cu 2.71, 4 Re 2.77
Re 0.0000 0.0000 0.5060  6 Mg 2.66-2.85, 2 Re 2.71, 4 Cu 2.77

# 3
VASP calculation (meta-GGA SCAN) on a PBEsol-optimized structure of MgCuRe2.

Values from the calculation:
E_tot = -161.5 eV per formula unit

a b c (Å): 2.9850 4.2558 5.2477
angles (deg): 113.92 106.52 90.00
Last column: nearest neighbours and their distance in Å.
Fractional coordinates of all 4 atoms:
Re 0.2365 0.2365 0.4731  4 Re 2.61, 2 Cu 2.62, 2 Mg 2.83
Re 0.7635 0.7635 0.5269  4 Re 2.61, 2 Cu 2.62, 2 Mg 2.83
Cu 0.5000 0.0000 0.0000  4 Mg 2.60, 4 Re 2.62
Mg 0.0000 0.5000 0.0000  4 Cu 2.60, 4 Re 2.83

# 4
VASP calculation (meta-GGA SCAN) on a PBEsol-optimized structure of MgCu2Re.

Values from the calculation:
E_tot = -105.2 eV per formula unit

a b c (Å): 3.3880 3.9715 3.9715
angles (deg): 90.00 90.00 90.00
Last column: nearest neighbours and their distance in Å.
Fractional coordinates of all 4 atoms:
Cu 0.0000 0.0000 0.5000  4 Mg 2.61, 4 Re 2.61, 4 Cu 2.81
Cu 0.0000 0.5000 0.0000  4 Mg 2.61, 4 Re 2.61, 4 Cu 2.81
Re 0.5000 0.0000 0.0000  8 Cu 2.61, 4 Mg 2.81
Mg 0.5000 0.5000 0.5000  8 Cu 2.61, 4 Re 2.81

# 5
VASP calculation (meta-GGA SCAN) on a PBEsol-optimized structure of MgCu2Rh.

Values from the calculation:
E_tot = -69.7 eV per formula unit

a b c (Å): 3.8779 3.8779 4.4493
angles (deg): 115.84 115.84 90.00
Last column: nearest neighbours and their distance in Å.
Fractional coordinates of all 4 atoms:
Mg 0.0000 0.0000 0.0000  8 Cu 2.61, 4 Rh 2.74
Rh 0.5000 0.5000 0.0000  8 Cu 2.61, 4 Mg 2.74
Cu 0.2500 0.7500 0.5000  4 Rh 2.61, 4 Mg 2.61, 4 Cu 2.74
Cu 0.7500 0.2500 0.5000  4 Rh 2.61, 4 Mg 2.61, 4 Cu 2.74

# 6
VASP calculation (meta-GGA SCAN) on a PBEsol-optimized structure of MgCu2Rh.

Values from the calculation:
E_tot = -70.0 eV per formula unit

a b c (Å): 3.7013 3.6981 3.8040
angles (deg): 90.00 90.00 90.00
Last column: nearest neighbours and their distance in Å.
Fractional coordinates of all 4 atoms:
Cu 0.5000 0.5000 0.0000  4 Cu 2.62, 4 Mg 2.65, 4 Rh 2.65
Cu 0.0000 0.0000 0.0000  4 Cu 2.62, 4 Rh 2.65, 4 Mg 2.65
Mg 0.5000 0.0000 0.5000  4 Rh 2.62, 8 Cu 2.65
Rh 0.0000 0.5000 0.5000  4 Mg 2.62, 8 Cu 2.65

# 7
VASP calculation (meta-GGA SCAN) on a PBEsol-optimized structure of MgCu2Rh.

Values from the calculation:
E_tot = -69.8 eV per formula unit

a b c (Å): 3.0579 3.0579 5.6373
angles (deg): 90.00 90.00 90.00
Last column: nearest neighbours and their distance in Å.
Fractional coordinates of all 4 atoms:
Rh 0.5000 0.5000 0.7633  5 Cu 2.57-2.60, 4 Mg 2.62
Cu 0.5000 0.5000 0.2248  4 Cu 2.48, 1 Rh 2.60, 4 Mg 2.66
Cu 0.0000 0.0000 0.0107  4 Cu 2.48, 4 Rh 2.57, 1 Mg 2.76
Mg 0.0000 0.0000 0.5012  4 Rh 2.62, 6 Cu 2.66-2.87

# 8
VASP calculation (meta-GGA SCAN) on a PBEsol-optimized structure of MgCu2Rh.

Values from the calculation:
E_tot = -69.8 eV per formula unit

a b c (Å): 3.8115 3.8115 4.4985
angles (deg): 115.07 115.07 90.00
Last column: nearest neighbours and their distance in Å.
Fractional coordinates of all 4 atoms:
Rh 0.2500 0.7500 0.5000  4 Mg 2.62, 8 Cu 2.62-2.70
Cu 0.0000 0.0000 0.0000  4 Cu 2.62, 4 Rh 2.62, 4 Mg 2.70
Cu 0.7500 0.2500 0.5000  4 Mg 2.62, 4 Cu 2.62, 4 Rh 2.70
Mg 0.5000 0.5000 0.0000  4 Rh 2.62, 8 Cu 2.62-2.70

# 9
VASP calculation (meta-GGA SCAN) on a PBEsol-optimized structure of Mg2CuRh2.

Values from the calculation:
E_tot = -91.4 eV per formula unit

a b c (Å): 4.8987 5.0313 4.8987
angles (deg): 119.13 90.00 119.13
Last column: nearest neighbours and their distance in Å.
Fractional coordinates of all 5 atoms:
Rh 0.3373 0.6746 0.3373  1 Rh 2.38, 1 Cu 2.46, 4 Mg 2.53
Rh 0.6627 0.3254 0.6627  1 Rh 2.38, 1 Cu 2.46, 4 Mg 2.53
Mg 0.2500 0.5000 0.7500  4 Rh 2.53
Mg 0.7500 0.5000 0.2500  4 Rh 2.53
Cu 0.0000 0.0000 0.0000  2 Rh 2.46

# 10
VASP calculation (meta-GGA SCAN) on a PBEsol-optimized structure of MgCu2Rh.

Values from the calculation:
E_tot = -69.8 eV per formula unit

a b c (Å): 4.1928 4.1928 4.1928
angles (deg): 60.00 60.00 60.00
Last column: nearest neighbours and their distance in Å.
Fractional coordinates of all 4 atoms:
Mg 0.5000 0.5000 0.5000  4 Cu 2.57, 4 Rh 2.57
Cu 0.2500 0.2500 0.2500  4 Mg 2.57, 4 Cu 2.57
Cu 0.0000 0.0000 0.0000  4 Rh 2.57, 4 Cu 2.57
Rh 0.7500 0.7500 0.7500  4 Cu 2.57, 4 Mg 2.57

# 11
VASP calculation (meta-GGA SCAN) on a PBEsol-optimized structure of MgCu4Rh.

Values from the calculation:
E_tot = -100.1 eV per formula unit

a b c (Å): 4.7522 4.7522 4.7522
angles (deg): 60.00 60.00 60.00
Last column: nearest neighbours and their distance in Å.
Fractional coordinates of all 6 atoms:
Cu 0.6252 0.1244 0.6252  6 Cu 2.37-2.38
Cu 0.1244 0.6252 0.6252  6 Cu 2.37-2.38
Cu 0.6252 0.6252 0.6252  6 Cu 2.37-2.38
Cu 0.6252 0.6252 0.1244  6 Cu 2.37-2.38
Mg 0.2500 0.2500 0.2500  12 Cu 2.79, 4 Rh 2.91
Rh 0.0000 0.0000 0.0000  12 Cu 2.79, 4 Mg 2.91

# 12
VASP calculation (meta-GGA SCAN) on a PBEsol-optimized structure of MgCuRh2.

Values from the calculation:
E_tot = -88.4 eV per formula unit

a b c (Å): 2.7820 4.5008 4.6795
angles (deg): 101.37 107.29 90.00
Last column: nearest neighbours and their distance in Å.
Fractional coordinates of all 4 atoms:
Mg 0.7506 0.2659 0.5013  3 Cu 2.60-2.68, 7 Rh 2.64-2.77, 2 Mg 2.78
Rh 0.9936 0.9754 0.9873  5 Rh 2.59-2.78, 4 Cu 2.60-2.70, 3 Mg 2.76-2.77
Rh 0.2503 0.7653 0.5006  5 Rh 2.59-2.78, 4 Mg 2.64-2.65, 3 Cu 2.67-2.80
Cu 0.5054 0.4935 0.0108  7 Rh 2.60-2.80, 3 Mg 2.60-2.68, 2 Cu 2.78

# 13
VASP calculation (meta-GGA SCAN) on a PBEsol-optimized structure of MgCuRh2.

Values from the calculation:
E_tot = -88.5 eV per formula unit

a b c (Å): 2.7375 4.5507 4.6821
angles (deg): 100.53 90.00 107.50
Last column: nearest neighbours and their distance in Å.
Fractional coordinates of all 4 atoms:
Mg 0.5000 0.0000 0.0000  6 Rh 2.65-2.69, 4 Cu 2.71, 2 Mg 2.74
Cu 0.0000 0.0000 0.5000  6 Rh 2.59-2.67, 4 Mg 2.71, 2 Cu 2.74
Rh 0.7447 0.4895 0.7388  3 Cu 2.59-2.67, 6 Rh 2.64-2.79, 3 Mg 2.65-2.69
Rh 0.2553 0.5105 0.2612  3 Cu 2.59-2.67, 6 Rh 2.64-2.79, 3 Mg 2.65-2.69

# 14
VASP calculation (meta-GGA SCAN) on a PBEsol-optimized structure of MgCuRu.

Values from the calculation:
Polymorph energy (0 for the lowest one) = 746 meV/atom

a b c (Å): 4.0757 4.0757 4.0757
angles (deg): 60.00 60.00 60.00
Last column: nearest neighbours and their distance in Å.
Fractional coordinates of all 3 atoms:
Mg 0.2500 0.2500 0.2500  4 Cu 2.50, 4 Ru 2.50
Cu 0.5000 0.5000 0.5000  4 Mg 2.50
Ru 0.0000 0.0000 0.0000  4 Mg 2.50

# 15
VASP calculation (meta-GGA SCAN) on a PBEsol-optimized structure of MgCuRu.

Values from the calculation:
Polymorph energy (0 for the lowest one) = 5 meV/atom

a b c (Å): 2.5312 4.3424 4.3424
angles (deg): 120.00 90.00 90.00
Last column: nearest neighbours and their distance in Å.
Fractional coordinates of all 3 atoms:
Mg 0.7190 0.6667 0.3333  2 Mg 2.53, 3 Cu 2.58, 3 Ru 2.70
Cu 0.9630 0.0000 0.0000  2 Cu 2.53, 3 Mg 2.58, 3 Ru 2.66
Ru 0.3180 0.3333 0.6667  2 Ru 2.53, 3 Cu 2.66, 3 Mg 2.70